VASP calculation (GGA-PBE) on crystalline SrZrSi2Tc at its relaxed geometry.

Results
Space-group type: P4/mmm (123)
Final energy (eV/atom): -5.681

abc: 5.1544 5.1544 4.9006
angles: 90.00 90.00 90.00
Element x y z (fractional)
Sr1 0.0000 0.0000 0.0000
Zr1 0.5000 0.5000 0.5000
Si1 0.0000 0.5000 0.5000
Si2 0.5000 0.0000 0.5000
Tc1 0.5000 0.5000 0.0000

***

VASP calculation (GGA-PBE) on crystalline SrSi2Te at its relaxed geometry.

Results
Space-group type: Fmmm (69)
Final energy (eV/atom): -3.890

abc: 6.3141 6.2992 4.4106
angles: 69.71 69.35 40.93
Element x y z (fractional)
Sr1 0.0000 0.0000 0.0000
Si1 0.0000 0.5000 0.5000
Si2 0.5000 0.0000 0.0000
Te1 0.5000 0.5000 0.5000

***

VASP calculation (GGA-PBE) on crystalline Sr2SiTe at its relaxed geometry.

Results
Space-group type: P4/mmm (123)
Energy above the most stable polymorph in this dataset (kJ per mole of atoms): 0.0
Final energy (eV/atom): -3.706

abc: 3.9772 3.9772 7.8852
angles: 90.00 90.00 90.00
Element x y z (fractional)
Sr1 0.0000 0.0000 0.2457
Sr2 0.0000 0.0000 0.7543
Si1 0.5000 0.5000 0.0000
Te1 0.5000 0.5000 0.5000

***

VASP calculation (GGA-PBE) on crystalline Sr2Si2Te at its relaxed geometry.

Results
Space-group type: P4/mbm (127)
Energy above the most stable polymorph in this dataset (kJ per mole of atoms): 9.4
Final energy (eV/atom): -3.972

abc: 8.1286 8.1286 4.3485
angles: 90.00 90.00 90.00
Element x y z (fractional)
Sr1 0.1880 0.3120 0.0000
Sr2 0.3120 0.8120 0.0000
Sr3 0.6880 0.1880 0.0000
Sr4 0.8120 0.6880 0.0000
Si1 0.0989 0.5989 0.5000
Si2 0.4011 0.0989 0.5000
Si3 0.5989 0.9011 0.5000
Si4 0.9011 0.4011 0.5000
Te1 0.0000 0.0000 0.5000
Te2 0.5000 0.5000 0.5000

***

VASP calculation (GGA-PBE) on crystalline Sr2Si2Te at its relaxed geometry.

Results
Space-group type: I4/mmm (139)
Energy above the most stable polymorph in this dataset (kJ per mole of atoms): 0.0
Final energy (eV/atom): -4.070

abc: 9.5683 9.5683 9.5683
angles: 156.40 156.40 33.62
Element x y z (fractional)
Sr1 0.1069 0.1069 0.0000
Sr2 0.8931 0.8931 0.0000
Si1 0.2500 0.7500 0.5000
Si2 0.7500 0.2500 0.5000
Te1 0.5000 0.5000 0.0000

***

VASP calculation (GGA-PBE) on crystalline Sr2SiTe at its relaxed geometry.

Results
Space-group type: F-43m (216)
Energy above the most stable polymorph in this dataset (kJ per mole of atoms): 59.5
Final energy (eV/atom): -3.089

abc: 5.5396 5.5396 5.5396
angles: 60.00 60.00 60.00
Element x y z (fractional)
Sr1 0.0000 0.0000 0.0000
Sr2 0.2500 0.2500 0.2500
Si1 0.5000 0.5000 0.5000
Te1 0.7500 0.7500 0.7500

***

VASP calculation (GGA-PBE) on crystalline Sr2SiTe at its relaxed geometry.

Results
Space-group type: Cm (8)
Energy above the most stable polymorph in this dataset (kJ per mole of atoms): 1.9
Final energy (eV/atom): -3.686

abc: 6.4554 6.4554 4.9007
angles: 98.95 98.95 40.32
Element x y z (fractional)
Sr1 0.0000 0.0000 0.0000
Sr2 0.7364 0.7364 0.5181
Si1 0.4697 0.4697 0.4694
Te1 0.2803 0.2803 0.0536

***

VASP calculation (GGA-PBE) on crystalline SrSi2Te at its relaxed geometry.

Results
Space-group type: P2/m (10)
Final energy (eV/atom): -4.013

abc: 4.5257 5.1541 4.9415
angles: 90.00 90.05 90.00
Element x y z (fractional)
Sr1 0.0000 0.0000 0.0000
Si1 0.4975 0.5000 0.7675
Si2 0.5025 0.5000 0.2325
Te1 0.5000 0.0000 0.5000

***

VASP calculation (GGA-PBE) on crystalline SrSi2Te at its relaxed geometry.

Results
Space-group type: Pmm2 (25)
Final energy (eV/atom): -3.933

abc: 3.8479 4.0358 6.4505
angles: 90.00 90.00 90.00
Element x y z (fractional)
Sr1 0.0000 0.0000 0.0000
Si1 0.0000 0.0000 0.5305
Si2 0.5000 0.5000 0.6834
Te1 0.5000 0.5000 0.2771

***

VASP calculation (GGA-PBE) on crystalline Sr2Si2Te at its relaxed geometry.

Results
Space-group type: I4/mmm (139)
Energy above the most stable polymorph in this dataset (kJ per mole of atoms): 28.3
Final energy (eV/atom): -3.776

abc: 5.9992 5.9992 5.9992
angles: 118.61 118.61 92.43
Element x y z (fractional)
Sr1 0.2500 0.7500 0.5000
Sr2 0.7500 0.2500 0.5000
Si1 0.1357 0.1357 0.0000
Si2 0.8643 0.8643 0.0000
Te1 0.5000 0.5000 0.0000

***

VASP calculation (GGA-PBE) on crystalline SrSiTe3 at its relaxed geometry.

Results
Space-group type: P2_1/c (14)
Energy above the most stable polymorph in this dataset (kJ per mole of atoms): 0.0
Final energy (eV/atom): -3.950

abc: 8.0228 8.6727 12.4547
angles: 90.00 128.21 90.00
Element x y z (fractional)
Sr1 0.2402 0.1088 0.2546
Sr2 0.2402 0.3912 0.7546
Sr3 0.7598 0.6088 0.2454
Sr4 0.7598 0.8912 0.7454
Si1 0.1251 0.5973 0.0676
Si2 0.1251 0.9027 0.5676
Si3 0.8749 0.0973 0.4324
Si4 0.8749 0.4027 0.9324
Te1 0.0916 0.1980 0.9224
Te2 0.0916 0.3020 0.4224
Te3 0.2537 0.7113 0.9413
Te4 0.2537 0.7887 0.4413
Te5 0.4191 0.0190 0.7992
Te6 0.4191 0.4810 0.2992
Te7 0.5809 0.5190 0.7008
Te8 0.5809 0.9810 0.2008
Te9 0.7463 0.2113 0.5587
Te10 0.7463 0.2887 0.0587
Te11 0.9084 0.6980 0.5776
Te12 0.9084 0.8020 0.0776

***

VASP calculation (GGA-PBE) on crystalline Sr12Si3Te5 at its relaxed geometry.

Results
Space-group type: Ia-3d (230)
Final energy (eV/atom): -3.377

abc: 16.5032 16.5032 16.5032
angles: 109.47 109.47 109.47
Element x y z (fractional)
Sr1 0.0608 0.2284 0.1433
Sr2 0.0608 0.3324 0.9175
Sr3 0.0825 0.6433 0.4149
Sr4 0.0825 0.9392 0.6676
Sr5 0.0851 0.7284 0.6676
Sr6 0.0851 0.8567 0.4175
Sr7 0.1433 0.0608 0.2284
Sr8 0.1433 0.5825 0.9149
Sr9 0.1676 0.2284 0.5851
Sr10 0.1676 0.4392 0.5825
Sr11 0.2284 0.1433 0.0608
Sr12 0.2284 0.5851 0.1676
Sr13 0.2716 0.3324 0.9149
Sr14 0.2716 0.4392 0.3567
Sr15 0.3324 0.9149 0.2716
Sr16 0.3324 0.9175 0.0608
Sr17 0.3567 0.2716 0.4392
Sr18 0.3567 0.5851 0.9175
Sr19 0.4149 0.0825 0.6433
Sr20 0.4149 0.8324 0.7716
Sr21 0.4175 0.0851 0.8567
Sr22 0.4175 0.8324 0.5608
Sr23 0.4392 0.3567 0.2716
Sr24 0.4392 0.5825 0.1676
Sr25 0.5608 0.4175 0.8324
Sr26 0.5608 0.6433 0.7284
Sr27 0.5825 0.1676 0.4392
Sr28 0.5825 0.9149 0.1433
Sr29 0.5851 0.1676 0.2284
Sr30 0.5851 0.9175 0.3567
Sr31 0.6433 0.4149 0.0825
Sr32 0.6433 0.7284 0.5608
Sr33 0.6676 0.0825 0.9392
Sr34 0.6676 0.0851 0.7284
Sr35 0.7284 0.5608 0.6433
Sr36 0.7284 0.6676 0.0851
Sr37 0.7716 0.4149 0.8324
Sr38 0.7716 0.8567 0.9392
Sr39 0.8324 0.5608 0.4175
Sr40 0.8324 0.7716 0.4149
Sr41 0.8567 0.4175 0.0851
Sr42 0.8567 0.9392 0.7716
Sr43 0.9149 0.1433 0.5825
Sr44 0.9149 0.2716 0.3324
Sr45 0.9175 0.0608 0.3324
Sr46 0.9175 0.3567 0.5851
Sr47 0.9392 0.6676 0.0825
Sr48 0.9392 0.7716 0.8567
Si1 0.1250 0.2500 0.3750
Si2 0.1250 0.3750 0.7500
Si3 0.2500 0.3750 0.1250
Si4 0.2500 0.8750 0.6250
Si5 0.3750 0.1250 0.2500
Si6 0.3750 0.7500 0.1250
Si7 0.6250 0.2500 0.8750
Si8 0.6250 0.8750 0.7500
Si9 0.7500 0.1250 0.3750
Si10 0.7500 0.6250 0.8750
Si11 0.8750 0.6250 0.2500
Si12 0.8750 0.7500 0.6250
Te1 0.0000 0.0000 0.0000
Te2 0.0000 0.0000 0.5000
Te3 0.0000 0.5000 0.0000
Te4 0.0000 0.5000 0.5000
Te5 0.1250 0.7500 0.8750
Te6 0.1250 0.8750 0.2500
Te7 0.2500 0.1250 0.8750
Te8 0.2500 0.6250 0.3750
Te9 0.3750 0.2500 0.6250
Te10 0.3750 0.6250 0.7500
Te11 0.5000 0.0000 0.0000
Te12 0.5000 0.0000 0.5000
Te13 0.5000 0.5000 0.0000
Te14 0.5000 0.5000 0.5000
Te15 0.6250 0.3750 0.2500
Te16 0.6250 0.7500 0.3750
Te17 0.7500 0.3750 0.6250
Te18 0.7500 0.8750 0.1250
Te19 0.8750 0.1250 0.7500
Te20 0.8750 0.2500 0.1250

***

VASP calculation (GGA-PBE) on crystalline SrSi2Te at its relaxed geometry.

Results
Space-group type: C2/m (12)
Final energy (eV/atom): -4.124

abc: 5.6562 5.6562 5.7282
angles: 111.71 111.71 39.29
Element x y z (fractional)
Sr1 0.0000 0.0000 0.0000
Si1 0.2487 0.2487 0.6330
Si2 0.7513 0.7513 0.3670
Te1 0.5000 0.5000 0.5000

***

VASP calculation (GGA-PBE) on crystalline SrSiTe3 at its relaxed geometry.

Results
Space-group type: Pm-3m (221)
Energy above the most stable polymorph in this dataset (kJ per mole of atoms): 22.7
Final energy (eV/atom): -3.714

abc: 5.3997 5.3997 5.3997
angles: 90.00 90.00 90.00
Element x y z (fractional)
Sr1 0.0000 0.0000 0.0000
Si1 0.5000 0.5000 0.5000
Te1 0.0000 0.5000 0.5000
Te2 0.5000 0.0000 0.5000
Te3 0.5000 0.5000 0.0000

***

VASP calculation (GGA-PBE) on crystalline SrSi2Te at its relaxed geometry.

Results
Space-group type: R-3m (166)
Final energy (eV/atom): -3.705

abc: 8.4030 8.4030 8.4030
angles: 27.06 27.06 27.06
Element x y z (fractional)
Sr1 0.0000 0.0000 0.0000
Si1 0.2366 0.2366 0.2366
Si2 0.7634 0.7634 0.7634
Te1 0.5000 0.5000 0.5000

***

VASP calculation (GGA-PBE) on crystalline Sr4SiTe at its relaxed geometry.

Results
Space-group type: F-43m (216)
Final energy (eV/atom): -2.288

abc: 6.8064 6.8064 6.8064
angles: 60.00 60.00 60.00
Element x y z (fractional)
Sr1 0.1254 0.1254 0.1254
Sr2 0.1254 0.1254 0.6239
Sr3 0.1254 0.6239 0.1254
Sr4 0.6239 0.1254 0.1254
Si1 0.5000 0.5000 0.5000
Te1 0.7500 0.7500 0.7500

***

VASP calculation (GGA-PBE) on crystalline Sr2SiTe at its relaxed geometry.

Results
Space-group type: I-42d (122)
Energy above the most stable polymorph in this dataset (kJ per mole of atoms): 19.3
Final energy (eV/atom): -3.505

abc: 7.1402 7.1402 7.1402
angles: 106.03 106.03 116.61
Element x y z (fractional)
Sr1 0.1119 0.6250 0.9869
Sr2 0.3750 0.3619 0.4869
Sr3 0.6381 0.1250 0.0131
Sr4 0.8750 0.8881 0.5131
Si1 0.0000 0.0000 0.0000
Si2 0.7500 0.2500 0.5000
Te1 0.2500 0.7500 0.5000
Te2 0.5000 0.5000 0.0000

***

VASP calculation (GGA-PBE) on crystalline SrSi2Te at its relaxed geometry.

Results
Space-group type: I-4m2 (119)
Final energy (eV/atom): -3.841

abc: 5.6382 5.6382 5.6382
angles: 131.42 131.42 71.15
Element x y z (fractional)
Sr1 0.0000 0.0000 0.0000
Si1 0.5000 0.5000 0.0000
Si2 0.7500 0.2500 0.5000
Te1 0.2500 0.7500 0.5000

***

VASP calculation (GGA-PBE) on crystalline SrSi2Te at its relaxed geometry.

Results
Space-group type: Pm (6)
Final energy (eV/atom): -4.197

abc: 4.8222 4.0263 6.4270
angles: 90.00 111.94 90.00
Element x y z (fractional)
Sr1 0.0000 0.0000 0.0000
Si1 0.6233 0.5000 0.2486
Si2 0.7288 0.0000 0.4579
Te1 0.4076 0.5000 0.8146

***

VASP calculation (GGA-PBE) on crystalline Sr3SiTe4 at its relaxed geometry.

Results
Space-group type: Pmn2_1 (31)
Final energy (eV/atom): -4.080

abc: 13.1381 6.6585 6.6596
angles: 90.00 90.00 90.00
Element x y z (fractional)
Sr1 0.0000 0.2438 0.0000
Sr2 0.2499 0.2475 0.4989
Sr3 0.2501 0.7525 0.9989
Sr4 0.5000 0.7562 0.5000
Sr5 0.7501 0.2475 0.4989
Sr6 0.7499 0.7525 0.9989
Si1 0.0000 0.7856 0.5401
Si2 0.5000 0.2144 0.0401
Te1 0.0000 0.1912 0.5038
Te2 0.0000 0.7478 0.9454
Te3 0.2387 0.7482 0.5001
Te4 0.2613 0.2518 0.0001
Te5 0.5000 0.2522 0.4454
Te6 0.5000 0.8088 0.0038
Te7 0.7387 0.2518 0.0001
Te8 0.7613 0.7482 0.5001

***

VASP calculation (GGA-PBE) on crystalline Sr2SiTe at its relaxed geometry.

Results
Space-group type: Imm2 (44)
Energy above the most stable polymorph in this dataset (kJ per mole of atoms): 14.9
Final energy (eV/atom): -3.551

abc: 6.8350 6.8350 6.8350
angles: 142.89 138.45 56.92
Element x y z (fractional)
Sr1 0.0000 0.0000 0.0000
Sr2 0.7423 0.2423 0.5000
Si1 0.4799 0.4799 0.0000
Te1 0.2548 0.7548 0.5000

***

VASP calculation (GGA-PBE) on crystalline SrSi2Te at its relaxed geometry.

Results
Space-group type: P4/mmm (123)
Final energy (eV/atom): -3.907

abc: 4.0387 4.0387 6.4312
angles: 90.00 90.00 90.00
Element x y z (fractional)
Sr1 0.0000 0.0000 0.0000
Si1 0.5000 0.5000 0.3197
Si2 0.5000 0.5000 0.6803
Te1 0.0000 0.0000 0.5000

***

VASP calculation (GGA-PBE) on crystalline SrSi2Te at its relaxed geometry.

Results
Space-group type: Imm2 (44)
Final energy (eV/atom): -4.023

abc: 5.8219 5.8219 5.8219
angles: 142.57 120.51 72.44
Element x y z (fractional)
Sr1 0.0000 0.0000 0.0000
Si1 0.5552 0.5552 0.0000
Si2 0.7144 0.2144 0.5000
Te1 0.3108 0.8108 0.5000